*P*
CeHo2Sb | PBE | relaxed

Geometry as CIF:
```
data_CeHo2Sb
_chemical_formula_sum 'Ce1 Ho2 Sb1'
_space_group_name_H-M_alt 'P 4/m m m'
_space_group_IT_number 123
_space_group_name_Hall '-P 4 2'
_cell_length_a 4.837
_cell_length_b 4.837
_cell_length_c 4.617
_cell_angle_alpha 90.00
_cell_angle_beta 90.00
_cell_angle_gamma 90.00
loop_
_atom_site_label
_atom_site_fract_x
_atom_site_fract_y
_atom_site_fract_z
Ce1 0.000 0.000 0.000
Ho1 0.000 0.500 0.500
Sb1 0.500 0.500 0.000
```

Mass density = 9.1 g cm⁻³



*Q*
CeHo2Sb | PBE | relaxed

Geometry as CIF:
```
data_CeHo2Sb
_chemical_formula_sum 'Ce1 Ho2 Sb1'
_space_group_name_H-M_alt 'P 4/m m m'
_space_group_IT_number 123
_space_group_name_Hall '-P 4 2'
_cell_length_a 3.918
_cell_length_b 3.918
_cell_length_c 7.249
_cell_angle_alpha 90.00
_cell_angle_beta 90.00
_cell_angle_gamma 90.00
loop_
_atom_site_label
_atom_site_fract_x
_atom_site_fract_y
_atom_site_fract_z
Ce1 0.000 0.000 0.000
Ho1 0.500 0.500 0.276
Sb1 0.000 0.000 0.500
```

Mass density = 8.8 g cm⁻³



*R*
CeHo2Sb | PBE | relaxed

Geometry as CIF:
```
data_CeHo2Sb
_chemical_formula_sum 'Ce3 Ho6 Sb3'
_space_group_name_H-M_alt 'R 3 m'
_space_group_IT_number 160
_space_group_name_Hall 'R 3 -2"'
_cell_length_a 3.9676
_cell_length_b 3.9676
_cell_length_c 28.9087
_cell_angle_alpha 90.00
_cell_angle_beta 90.00
_cell_angle_gamma 120.00
loop_
_atom_site_label
_atom_site_fract_x
_atom_site_fract_y
_atom_site_fract_z
Ce1 0.0000 0.0000 0.0000
Ho1 0.0000 0.0000 0.2342
Ho2 0.0000 0.0000 0.4337
Sb1 0.0000 0.0000 0.8342
```

Mass density = 7.5 g cm⁻³



Which is the most stable structure? *P* is the most stable.



*P*
CeHoSc4 | PBE | relaxed

Geometry as CIF:
```
data_CeHoSc4
_chemical_formula_sum 'Ce2 Ho2 Sc8'
_space_group_name_H-M_alt 'P m m a'
_space_group_IT_number 51
_cell_length_a 6.946
_cell_length_b 5.425
_cell_length_c 8.409
_cell_angle_alpha 90.00
_cell_angle_beta 90.00
_cell_angle_gamma 90.00
loop_
_space_group_symop_operation_xyz
'x,y,z'
'-x,-y,-z'
'-x+1/2,-y,z'
'x+1/2,y,-z'
'x+1/2,-y,-z'
'-x+1/2,y,z'
'-x,y,-z'
'x,-y,z'
loop_
_atom_site_label
_atom_site_fract_x
_atom_site_fract_y
_atom_site_fract_z
Ce1 0.250 0.000 0.207
Ho1 0.250 0.000 0.840
Sc1 0.000 0.000 0.500
Sc2 0.010 0.500 0.184
Sc3 0.250 0.500 0.506
```

Mass density = 5.1 g cm⁻³



*Q*
CeHoSc4 | PBE | relaxed

Geometry as CIF:
```
data_CeHoSc4
_chemical_formula_sum 'Ce1 Ho1 Sc4'
_space_group_name_H-M_alt 'P m m m'
_space_group_IT_number 47
_cell_length_a 3.249
_cell_length_b 5.306
_cell_length_c 9.163
_cell_angle_alpha 90.00
_cell_angle_beta 90.00
_cell_angle_gamma 90.00
loop_
_space_group_symop_operation_xyz
'x,y,z'
'-x,-y,-z'
'-x,-y,z'
'x,y,-z'
'x,-y,-z'
'-x,y,z'
'-x,y,-z'
'x,-y,z'
loop_
_atom_site_label
_atom_site_fract_x
_atom_site_fract_y
_atom_site_fract_z
Ce1 0.000 0.000 0.000
Ho1 0.000 0.500 0.500
Sc1 0.500 0.000 0.333
Sc2 0.500 0.500 0.167
```

Mass density = 5.1 g cm⁻³



Which is the most stable structure? *Q* is the most stable.



*P*
CeHo6Sc2 | PBE | relaxed

Geometry as CIF:
```
data_CeHo6Sc2
_chemical_formula_sum 'Ce2 Ho12 Sc4'
_space_group_name_H-M_alt 'P -1'
_space_group_IT_number 2
_cell_length_a 6.570
_cell_length_b 8.923
_cell_length_c 9.320
_cell_angle_alpha 98.42
_cell_angle_beta 95.83
_cell_angle_gamma 95.54
loop_
_space_group_symop_operation_xyz
'x,y,z'
'-x,-y,-z'
loop_
_atom_site_label
_atom_site_fract_x
_atom_site_fract_y
_atom_site_fract_z
Ce1 0.093 0.348 0.055
Ho1 0.015 0.777 0.609
Ho2 0.204 0.447 0.723
Ho3 0.236 0.997 0.943
Ho4 0.315 0.569 0.390
Ho5 0.420 0.681 0.054
Ho6 0.463 0.207 0.279
Sc1 0.134 0.881 0.283
Sc2 0.354 0.097 0.606
```

Mass density = 7.6 g cm⁻³



*Q*
CeHo6Sc2 | PBE | relaxed

Geometry as CIF:
```
data_CeHo6Sc2
_chemical_formula_sum 'Ce3 Ho18 Sc6'
_space_group_name_H-M_alt 'R 3 m'
_space_group_IT_number 160
_space_group_name_Hall 'R 3 -2"'
_cell_length_a 7.1070
_cell_length_b 7.1070
_cell_length_c 18.5452
_cell_angle_alpha 90.00
_cell_angle_beta 90.00
_cell_angle_gamma 120.00
loop_
_atom_site_label
_atom_site_fract_x
_atom_site_fract_y
_atom_site_fract_z
Ce1 0.0000 0.0000 0.0000
Ho1 0.1706 0.3411 0.8858
Ho2 0.1856 0.3711 0.0819
Sc1 0.0000 0.0000 0.5622
Sc2 0.0000 0.0000 0.7384
```

Mass density = 7.5 g cm⁻³



Which is the most stable structure? *P* is the most stable.



*P*
CeHoThSc | PBE | relaxed

Geometry as CIF:
```
data_CeHoThSc
_chemical_formula_sum 'Ce4 Ho4 Th4 Sc4'
_space_group_name_H-M_alt 'F -4 3 m'
_space_group_IT_number 216
_space_group_name_Hall 'F -4 2 3'
_cell_length_a 7.793
_cell_length_b 7.793
_cell_length_c 7.793
_cell_angle_alpha 90.00
_cell_angle_beta 90.00
_cell_angle_gamma 90.00
loop_
_atom_site_label
_atom_site_fract_x
_atom_site_fract_y
_atom_site_fract_z
Ce1 0.000 0.000 0.000
Ho1 0.250 0.250 0.750
Th1 0.250 0.250 0.250
Sc1 0.000 0.000 0.500
```

Mass density = 8.2 g cm⁻³



*Q*
CeHoThSc | PBE | relaxed

Geometry as CIF:
```
data_CeHoThSc
_chemical_formula_sum 'Ce2 Ho2 Th2 Sc2'
_space_group_name_H-M_alt 'C 1 m 1'
_space_group_IT_number 8
_cell_length_a 6.028
_cell_length_b 3.480
_cell_length_c 11.243
_cell_angle_alpha 90.00
_cell_angle_beta 100.28
_cell_angle_gamma 90.00
loop_
_space_group_symop_operation_xyz
'x,y,z'
'x,-y,z'
'x+1/2,y+1/2,z'
'x+1/2,-y+1/2,z'
loop_
_atom_site_label
_atom_site_fract_x
_atom_site_fract_y
_atom_site_fract_z
Ce1 0.000 0.000 0.000
Ho1 0.421 0.000 0.260
Th1 0.084 0.500 0.749
Sc1 0.169 0.000 0.505
```

Mass density = 8.3 g cm⁻³



Which is the most stable structure? *Q* is the most stable.



*P*
Ce2HoSe3 | PBE | relaxed

Geometry as CIF:
```
data_Ce2HoSe3
_chemical_formula_sum 'Ce4 Ho2 Se6'
_space_group_name_H-M_alt 'I m m m'
_space_group_IT_number 71
_space_group_name_Hall '-I 2 2'
_cell_length_a 4.119
_cell_length_b 5.878
_cell_length_c 12.543
_cell_angle_alpha 90.00
_cell_angle_beta 90.00
_cell_angle_gamma 90.00
loop_
_atom_site_label
_atom_site_fract_x
_atom_site_fract_y
_atom_site_fract_z
Ce1 0.000 0.000 0.169
Ho1 0.000 0.000 0.500
Se1 0.000 0.500 0.159
Se2 0.000 0.500 0.500
```

Mass density = 7.5 g cm⁻³



*Q*
Ce2HoSe3 | PBE | relaxed

Geometry as CIF:
```
data_Ce2HoSe3
_chemical_formula_sum 'Ce4 Ho2 Se6'
_space_group_name_H-M_alt 'P 63/m m c'
_space_group_IT_number 194
_space_group_name_Hall '-P 6c 2c'
_cell_length_a 4.0783
_cell_length_b 4.0783
_cell_length_c 21.1730
_cell_angle_alpha 90.00
_cell_angle_beta 90.00
_cell_angle_gamma 120.00
loop_
_atom_site_label
_atom_site_fract_x
_atom_site_fract_y
_atom_site_fract_z
Ce1 0.3333 0.6667 0.0833
Ho1 0.0000 0.0000 0.2500
Se1 0.0000 0.0000 0.0000
Se2 0.3333 0.6667 0.6694
```

Mass density = 7.4 g cm⁻³



Which is the most stable structure? *P* is the most stable.



*P*
CeHoSe3 | PBE | relaxed

Geometry as CIF:
```
data_CeHoSe3
_chemical_formula_sum 'Ce2 Ho2 Se6'
_space_group_name_H-M_alt 'P m m n'
_space_group_IT_number 59
_cell_length_a 4.116
_cell_length_b 7.057
_cell_length_c 9.079
_cell_angle_alpha 90.00
_cell_angle_beta 90.00
_cell_angle_gamma 90.00
loop_
_space_group_symop_operation_xyz
'x,y,z'
'-x,-y,-z'
'-x+1/2,-y+1/2,z'
'x+1/2,y+1/2,-z'
'x+1/2,-y,-z'
'-x+1/2,y,z'
'-x,y+1/2,-z'
'x,-y+1/2,z'
loop_
_atom_site_label
_atom_site_fract_x
_atom_site_fract_y
_atom_site_fract_z
Ce1 0.250 0.250 0.154
Ho1 0.250 0.750 0.399
Se1 0.250 0.520 0.666
Se2 0.250 0.750 0.070
```

Mass density = 6.8 g cm⁻³



*Q*
CeHoSe3 | PBE | relaxed

Geometry as CIF:
```
data_CeHoSe3
_chemical_formula_sum 'Ce4 Ho4 Se12'
_space_group_name_H-M_alt 'P n m a'
_space_group_IT_number 62
_cell_length_a 7.731
_cell_length_b 4.142
_cell_length_c 15.994
_cell_angle_alpha 90.00
_cell_angle_beta 90.00
_cell_angle_gamma 90.00
loop_
_space_group_symop_operation_xyz
'x,y,z'
'-x,-y,-z'
'-x+1/2,-y,z+1/2'
'x+1/2,y,-z+1/2'
'x+1/2,-y+1/2,-z+1/2'
'-x+1/2,y+1/2,z+1/2'
'-x,y+1/2,-z'
'x,-y+1/2,z'
loop_
_atom_site_label
_atom_site_fract_x
_atom_site_fract_y
_atom_site_fract_z
Ce1 0.138 0.250 0.202
Ho1 0.231 0.750 0.457
Se1 0.009 0.250 0.395
Se2 0.124 0.750 0.063
Se3 0.151 0.250 0.783
```

Mass density = 7.0 g cm⁻³



Which is the most stable structure? *Q* is the most stable.



*P*
CeHo2Se | PBE | relaxed

Geometry as CIF:
```
data_CeHo2Se
_chemical_formula_sum 'Ce3 Ho6 Se3'
_space_group_name_H-M_alt 'R 3 m'
_space_group_IT_number 160
_space_group_name_Hall 'R 3 -2"'
_cell_length_a 3.7233
_cell_length_b 3.7233
_cell_length_c 28.7882
_cell_angle_alpha 90.00
_cell_angle_beta 90.00
_cell_angle_gamma 120.00
loop_
_atom_site_label
_atom_site_fract_x
_atom_site_fract_y
_atom_site_fract_z
Ce1 0.0000 0.0000 0.0000
Ho1 0.0000 0.0000 0.5660
Ho2 0.0000 0.0000 0.7680
Se1 0.0000 0.0000 0.1670
```

Mass density = 7.9 g cm⁻³



*Q*
CeHo2Se | PBE | relaxed

Geometry as CIF:
```
data_CeHo2Se
_chemical_formula_sum 'Ce3 Ho6 Se3'
_space_group_name_H-M_alt 'R -3 m'
_space_group_IT_number 166
_space_group_name_Hall '-R 3 2"'
_cell_length_a 3.6988
_cell_length_b 3.6988
_cell_length_c 28.7586
_cell_angle_alpha 90.00
_cell_angle_beta 90.00
_cell_angle_gamma 120.00
loop_
_atom_site_label
_atom_site_fract_x
_atom_site_fract_y
_atom_site_fract_z
Ce1 0.0000 0.0000 0.0000
Ho1 0.0000 0.0000 0.2335
Se1 0.0000 0.0000 0.5000
```

Mass density = 8.0 g cm⁻³



Which is the most stable structure? *Q* is the most stable.



*P*
CeHoSi | PBE | relaxed

Geometry as CIF:
```
data_CeHoSi
_chemical_formula_sum 'Ce2 Ho2 Si2'
_space_group_name_H-M_alt 'P 1 2/m 1'
_space_group_IT_number 10
_cell_length_a 6.528
_cell_length_b 3.214
_cell_length_c 6.988
_cell_angle_alpha 90.00
_cell_angle_beta 101.61
_cell_angle_gamma 90.00
loop_
_space_group_symop_operation_xyz
'x,y,z'
'-x,-y,-z'
'-x,y,-z'
'x,-y,z'
loop_
_atom_site_label
_atom_site_fract_x
_atom_site_fract_y
_atom_site_fract_z
Ce1 0.062 0.000 0.323
Ho1 0.455 0.000 0.754
Si1 0.204 0.500 0.999
```

Mass density = 7.7 g cm⁻³



*Q*
CeHoSi | PBE | relaxed

Geometry as CIF:
```
data_CeHoSi
_chemical_formula_sum 'Ce4 Ho4 Si4'
_space_group_name_H-M_alt 'I 4/m m m'
_space_group_IT_number 139
_space_group_name_Hall '-I 4 2'
_cell_length_a 4.153
_cell_length_b 4.153
_cell_length_c 16.618
_cell_angle_alpha 90.00
_cell_angle_beta 90.00
_cell_angle_gamma 90.00
loop_
_atom_site_label
_atom_site_fract_x
_atom_site_fract_y
_atom_site_fract_z
Ce1 0.000 0.500 0.000
Ho1 0.000 0.000 0.180
Si1 0.000 0.000 0.360
```

Mass density = 7.7 g cm⁻³



Which is the most stable structure? *Q* is the most stable.



*P*
CeHoSi | PBE | relaxed

Geometry as CIF:
```
data_CeHoSi
_chemical_formula_sum 'Ce4 Ho4 Si4'
_space_group_name_H-M_alt 'F -4 3 m'
_space_group_IT_number 216
_space_group_name_Hall 'F -4 2 3'
_cell_length_a 6.881
_cell_length_b 6.881
_cell_length_c 6.881
_cell_angle_alpha 90.00
_cell_angle_beta 90.00
_cell_angle_gamma 90.00
loop_
_atom_site_label
_atom_site_fract_x
_atom_site_fract_y
_atom_site_fract_z
Ce1 0.000 0.000 0.000
Ho1 0.000 0.000 0.500
Si1 0.250 0.250 0.750
```

Mass density = 6.8 g cm⁻³



*Q*
CeHoSi | PBE | relaxed

Geometry as CIF:
```
data_CeHoSi
_chemical_formula_sum 'Ce1 Ho1 Si1'
_space_group_name_H-M_alt 'P 3 m 1'
_space_group_IT_number 156
_cell_length_a 4.6816
_cell_length_b 4.6816
_cell_length_c 4.0609
_cell_angle_alpha 90.00
_cell_angle_beta 90.00
_cell_angle_gamma 120.00
loop_
_space_group_symop_operation_xyz
'x,y,z'
'-y,x-y,z'
'-x+y,-x,z'
'-y,-x,z'
'-x+y,y,z'
'x,x-y,z'
loop_
_atom_site_label
_atom_site_fract_x
_atom_site_fract_y
_atom_site_fract_z
Ce1 0.0000 0.0000 0.0000
Ho1 0.6667 0.3333 0.5413
Si1 0.3333 0.6667 0.3606
```

Mass density = 7.2 g cm⁻³



Which is the most stable structure? *P* is the most stable.



*P*
Ce2HoSi | PBE | relaxed

Geometry as CIF:
```
data_Ce2HoSi
_chemical_formula_sum 'Ce2 Ho1 Si1'
_space_group_name_H-M_alt 'P 4/m m m'
_space_group_IT_number 123
_space_group_name_Hall '-P 4 2'
_cell_length_a 3.868
_cell_length_b 3.868
_cell_length_c 7.034
_cell_angle_alpha 90.00
_cell_angle_beta 90.00
_cell_angle_gamma 90.00
loop_
_atom_site_label
_atom_site_fract_x
_atom_site_fract_y
_atom_site_fract_z
Ce1 0.000 0.000 0.192
Ho1 0.500 0.500 0.500
Si1 0.500 0.500 0.000
```

Mass density = 7.5 g cm⁻³



*Q*
Ce2HoSi | PBE | relaxed

Geometry as CIF:
```
data_Ce2HoSi
_chemical_formula_sum 'Ce6 Ho3 Si3'
_space_group_name_H-M_alt 'R -3 m'
_space_group_IT_number 166
_space_group_name_Hall '-R 3 2"'
_cell_length_a 3.2402
_cell_length_b 3.2402
_cell_length_c 33.3681
_cell_angle_alpha 90.00
_cell_angle_beta 90.00
_cell_angle_gamma 120.00
loop_
_atom_site_label
_atom_site_fract_x
_atom_site_fract_y
_atom_site_fract_z
Ce1 0.0000 0.0000 0.0957
Ho1 0.0000 0.0000 0.0000
Si1 0.0000 0.0000 0.5000
```

Mass density = 7.8 g cm⁻³



Which is the most stable structure? *P* is the most stable.



*P*
CeHoSi2 | PBE | relaxed

Geometry as CIF:
```
data_CeHoSi2
_chemical_formula_sum 'Ce2 Ho2 Si4'
_space_group_name_H-M_alt 'A m m 2'
_space_group_IT_number 38
_cell_length_a 3.864
_cell_length_b 4.346
_cell_length_c 10.646
_cell_angle_alpha 90.00
_cell_angle_beta 90.00
_cell_angle_gamma 90.00
loop_
_space_group_symop_operation_xyz
'x,y,z'
'-x,-y,z'
'-x,y,z'
'x,-y,z'
'x,y+1/2,z+1/2'
'-x,-y+1/2,z+1/2'
'-x,y+1/2,z+1/2'
'x,-y+1/2,z+1/2'
loop_
_atom_site_label
_atom_site_fract_x
_atom_site_fract_y
_atom_site_fract_z
Ce1 0.000 0.000 0.000
Ho1 0.500 0.000 0.279
Si1 0.000 0.000 0.715
Si2 0.500 0.000 0.567
```

Mass density = 6.7 g cm⁻³



*Q*
CeHoSi2 | PBE | relaxed

Geometry as CIF:
```
data_CeHoSi2
_chemical_formula_sum 'Ce3 Ho3 Si6'
_space_group_name_H-M_alt 'R -3 m'
_space_group_IT_number 166
_space_group_name_Hall '-R 3 2"'
_cell_length_a 4.5973
_cell_length_b 4.5973
_cell_length_c 15.4000
_cell_angle_alpha 90.00
_cell_angle_beta 90.00
_cell_angle_gamma 120.00
loop_
_atom_site_label
_atom_site_fract_x
_atom_site_fract_y
_atom_site_fract_z
Ce1 0.0000 0.0000 0.0000
Ho1 0.0000 0.0000 0.5000
Si1 0.0000 0.0000 0.2459
```

Mass density = 6.4 g cm⁻³



Which is the most stable structure? *P* is the most stable.



*P*
CeSmHo6 | PBE | relaxed

Geometry as CIF:
```
data_CeSmHo6
_chemical_formula_sum 'Ce1 Sm1 Ho6'
_space_group_name_H-M_alt 'P 4/m m m'
_space_group_IT_number 123
_space_group_name_Hall '-P 4 2'
_cell_length_a 5.001
_cell_length_b 5.001
_cell_length_c 9.991
_cell_angle_alpha 90.00
_cell_angle_beta 90.00
_cell_angle_gamma 90.00
loop_
_atom_site_label
_atom_site_fract_x
_atom_site_fract_y
_atom_site_fract_z
Ce1 0.000 0.000 0.000
Sm1 0.000 0.000 0.500
Ho1 0.000 0.500 0.247
Ho2 0.500 0.500 0.000
Ho3 0.500 0.500 0.500
```

Mass density = 8.5 g cm⁻³



*Q*
CeSmHo6 | PBE | relaxed

Geometry as CIF:
```
data_CeSmHo6
_chemical_formula_sum 'Ce2 Sm2 Ho12'
_space_group_name_H-M_alt 'C 1 2/m 1'
_space_group_IT_number 12
_cell_length_a 11.171
_cell_length_b 5.018
_cell_length_c 10.024
_cell_angle_alpha 90.00
_cell_angle_beta 116.75
_cell_angle_gamma 90.00
loop_
_space_group_symop_operation_xyz
'x,y,z'
'-x,-y,-z'
'-x,y,-z'
'x,-y,z'
'x+1/2,y+1/2,z'
'-x+1/2,-y+1/2,-z'
'-x+1/2,y+1/2,-z'
'x+1/2,-y+1/2,z'
loop_
_atom_site_label
_atom_site_fract_x
_atom_site_fract_y
_atom_site_fract_z
Ce1 0.000 0.000 0.000
Sm1 0.000 0.000 0.500
Ho1 0.001 0.500 0.248
Ho2 0.249 0.000 0.373
Ho3 0.249 0.500 0.123
```

Mass density = 8.5 g cm⁻³



Which is the most stable structure? *P* is the most stable.